Entry 1:
A plane-wave DFT calculation with PBE was carried out for a relaxed structure of ScAlGe.

Structure (CIF):
```
data_ScAlGe
_cell_length_a 9.923
_cell_length_b 3.925
_cell_length_c 5.967
_cell_angle_alpha 90.00
_cell_angle_beta 108.83
_cell_angle_gamma 90.00
_space_group_name_H-M_alt 'C 1 2/m 1'
_space_group_IT_number 12
_space_group_name_Hall '-C 2y'
loop_
_atom_site_label
_atom_site_type_symbol
_atom_site_fract_x
_atom_site_fract_y
_atom_site_fract_z
Sc1 Sc 0.137 0.000 0.316
Al1 Al 0.184 0.000 0.837
Ge1 Ge 0.000 0.500 0.000
Ge2 Ge 0.000 0.500 0.500
```

## Properties
- calculated volume (A^3/atom) = 18.3
- energy of formation from the pure elements (kJ/mol of formula units) = -133

Entry 2:
A plane-wave DFT calculation with PBE was carried out for a relaxed structure of ScAlGe.

Structure (CIF):
```
data_ScAlGe
_cell_length_a 3.953
_cell_length_b 9.966
_cell_length_c 5.534
_cell_angle_alpha 90.00
_cell_angle_beta 90.00
_cell_angle_gamma 90.00
_space_group_name_H-M_alt 'C m c m'
_space_group_IT_number 63
_space_group_name_Hall '-C 2c 2'
loop_
_atom_site_label
_atom_site_type_symbol
_atom_site_fract_x
_atom_site_fract_y
_atom_site_fract_z
Sc1 Sc 0.000 0.186 0.250
Al1 Al 0.000 0.500 0.000
Ge1 Ge 0.000 0.117 0.750
```

## Properties
- calculated volume (A^3/atom) = 18.2
- energy of formation from the pure elements (kJ/mol of formula units) = -171

Entry 3:
A plane-wave DFT calculation with PBE was carried out for a relaxed structure of ScAlGe.

Structure (CIF):
```
data_ScAlGe
_cell_length_a 4.1830
_cell_length_b 4.1830
_cell_length_c 3.6938
_cell_angle_alpha 90.00
_cell_angle_beta 90.00
_cell_angle_gamma 120.00
_space_group_name_H-M_alt 'P 3 m 1'
_space_group_IT_number 156
_space_group_name_Hall 'P 3 -2"'
loop_
_atom_site_label
_atom_site_type_symbol
_atom_site_fract_x
_atom_site_fract_y
_atom_site_fract_z
Sc1 Sc 0.0000 0.0000 0.0000
Al1 Al 0.3333 0.6667 0.5017
Ge1 Ge 0.6667 0.3333 0.4975
```

## Properties
- calculated volume (A^3/atom) = 18.7
- energy of formation from the pure elements (kJ/mol of formula units) = -127

Entry 4:
A plane-wave DFT calculation with PBE was carried out for a relaxed structure of ScAlGe.

Structure (CIF):
```
data_ScAlGe
_cell_length_a 4.006
_cell_length_b 13.420
_cell_length_c 4.028
_cell_angle_alpha 90.00
_cell_angle_beta 90.00
_cell_angle_gamma 90.00
_space_group_name_H-M_alt 'C m m m'
_space_group_IT_number 65
_space_group_name_Hall '-C 2 2'
loop_
_atom_site_label
_atom_site_type_symbol
_atom_site_fract_x
_atom_site_fract_y
_atom_site_fract_z
Sc1 Sc 0.000 0.154 0.000
Al1 Al 0.000 0.000 0.500
Al2 Al 0.000 0.500 0.000
Ge1 Ge 0.000 0.335 0.500
```

## Properties
- calculated volume (A^3/atom) = 18.0
- energy of formation from the pure elements (kJ/mol of formula units) = -147

| no. | DOS(E_F) (states/eV per cell) |
| --- | --- |
| 1 | 6.63 |
| 2 | 4.02 |
| 3 | 0.12 |
| 4 | 7.04 |